The following is a DFT calculation (GGA-PBE) of a relaxed structure of Ce2Pm2CuSi4.

abc: 6.448 6.448 6.448
angles: 114.87 114.87 99.13
Sites, in units of the cell vectors:
Ce (0.170, 0.170, 0.000)
Ce (0.830, 0.830, 0.000)
Pm (0.250, 0.750, 0.500)
Pm (0.750, 0.250, 0.500)
Cu (0.500, 0.500, 0.000)
Si (0.267, 0.267, 0.535)
Si (0.267, 0.733, 0.000)
Si (0.733, 0.267, 0.000)
Si (0.733, 0.733, 0.465)

Output
total magnetic moment = 2.5 Bohr magnetons per cell
VASP energy = -0.406 Ry per atom